First-principles (GGA-PBE) data for an optimized crystal structure of NaGa4Ge, as listed in Alexandria via LeMat-Bulk.

Cell: 5.562 5.562 5.562 Å, 60.00 60.00 60.00°
Fractional coordinates of all 6 atoms:
Ga (0.625, 0.625, 0.125)
Ga (0.125, 0.625, 0.625)
Ga (0.625, 0.125, 0.625)
Ga (0.625, 0.625, 0.625)
Na (0.250, 0.250, 0.250)
Ge (0.000, 0.000, 0.000)

The formation energy is 0.049 eV/atom. The calculated density is 5.1 Mg/m³. The calculated total energy is -2.958 eV/atom.

=====

First-principles (GGA-PBE) data for an optimized crystal structure of NaGa3Ge, as listed in Alexandria via LeMat-Bulk.

Cell: 5.105 5.105 5.105 Å, 90.00 90.00 90.00°
Fractional coordinates of all 5 atoms:
Ga (0.000, 0.500, 0.000)
Ga (0.000, 0.000, 0.500)
Ga (0.500, 0.000, 0.000)
Ge (0.500, 0.500, 0.500)
Na (0.000, 0.000, 0.000)

For the distance to the lowest polymorph of the same formula, the calculation gives 4.591 eV per formula unit. The formation energy is 0.795 eV/atom. The calculated density is 3.8 Mg/m³. The calculated total energy is -2.208 eV/atom.

=====

First-principles (GGA-PBE) data for an optimized crystal structure of Na4Ga5Ge2, as listed in Alexandria via LeMat-Bulk.

Cell: 2.955 8.379 9.628 Å, 89.02 90.00 90.00°
Fractional coordinates of all 11 atoms:
Na (0.500, 0.706, 0.512)
Na (0.500, 0.294, 0.488)
Na (0.500, 0.834, 0.122)
Na (0.500, 0.166, 0.878)
Ge (0.000, 0.008, 0.635)
Ge (0.000, 0.992, 0.365)
Ga (0.000, 0.214, 0.172)
Ga (0.000, 0.522, 0.265)
Ga (0.000, 0.786, 0.828)
Ga (0.000, 0.500, 0.000)
Ga (0.000, 0.478, 0.735)

The formation energy is -0.019 eV/atom. The calculated density is 4.1 Mg/m³. The calculated total energy is -2.714 eV/atom.

=====

First-principles (GGA-PBE) data for an optimized crystal structure of Na2GaGe, as listed in Alexandria via LeMat-Bulk.

Cell: 4.814 4.210 4.210 Å, 90.00 90.00 90.00°
Fractional coordinates of all 4 atoms:
Na (0.000, 0.000, 0.500)
Na (0.000, 0.500, 0.000)
Ge (0.500, 0.500, 0.500)
Ga (0.500, 0.000, 0.000)

For the distance to the lowest polymorph of the same formula, the calculation gives 0.401 eV per formula unit. The formation energy is 0.016 eV/atom. The calculated density is 3.7 Mg/m³. The calculated total energy is -2.555 eV/atom.

=====

First-principles (GGA-PBE) data for an optimized crystal structure of NaGaGe, as listed in Alexandria via LeMat-Bulk.

Cell: 4.442 4.442 7.147 Å, 90.00 90.00 120.00°
Fractional coordinates of all 6 atoms:
Ge (0.000, 0.000, 0.302)
Ge (0.000, 0.000, 0.698)
Na (0.667, 0.333, 0.000)
Na (0.667, 0.333, 0.500)
Ga (0.333, 0.667, 0.196)
Ga (0.333, 0.667, 0.804)

The formation energy is -0.096 eV/atom. The calculated density is 4.5 Mg/m³. The calculated total energy is -3.084 eV/atom.

=====

First-principles (GGA-PBE) data for an optimized crystal structure of Na2Ga2Ge, as listed in Alexandria via LeMat-Bulk.

Cell: 6.797 6.797 4.971 Å, 90.00 90.00 90.00°
Fractional coordinates of all 10 atoms:
Na (0.177, 0.677, 0.500)
Na (0.677, 0.823, 0.500)
Na (0.823, 0.323, 0.500)
Na (0.323, 0.177, 0.500)
Ge (0.000, 0.000, 0.000)
Ge (0.500, 0.500, 0.000)
Ga (0.366, 0.866, 0.000)
Ga (0.634, 0.134, 0.000)
Ga (0.134, 0.366, 0.000)
Ga (0.866, 0.634, 0.000)

For the distance to the lowest polymorph of the same formula, the calculation gives 0.149 eV per formula unit. The formation energy is -0.059 eV/atom. The calculated density is 3.7 Mg/m³. The calculated total energy is -2.721 eV/atom.

=====

First-principles (GGA-PBE) data for an optimized crystal structure of NaGaGe, as listed in Alexandria via LeMat-Bulk.

Cell: 4.543 7.503 5.757 Å, 49.33 66.76 90.00°
Fractional coordinates of all 6 atoms:
Ga (0.120, 0.445, 0.761)
Ga (0.120, 0.794, 0.761)
Ge (0.435, 0.612, 0.131)
Ge (0.435, 0.257, 0.131)
Na (0.707, 0.207, 0.585)
Na (0.845, 0.845, 0.310)

The formation energy is -0.116 eV/atom. The calculated density is 4.3 Mg/m³. The calculated total energy is -3.104 eV/atom.

=====

First-principles (GGA-PBE) data for an optimized crystal structure of Na2Ga3Ge2, as listed in Alexandria via LeMat-Bulk.

Cell: 4.252 5.626 6.773 Å, 97.55 90.00 112.20°
Fractional coordinates of all 7 atoms:
Ga (0.691, 0.382, 0.878)
Ga (0.309, 0.618, 0.122)
Ga (0.000, 0.000, 0.000)
Na (0.372, 0.745, 0.665)
Na (0.628, 0.255, 0.335)
Ge (0.087, 0.174, 0.660)
Ge (0.913, 0.826, 0.340)

For the distance to the lowest polymorph of the same formula, the calculation gives 0.334 eV per formula unit. The formation energy is -0.040 eV/atom. The calculated density is 4.5 Mg/m³. The calculated total energy is -3.033 eV/atom.

=====

First-principles (GGA-PBE) data for an optimized crystal structure of NaGaGe, as listed in Alexandria via LeMat-Bulk.

Cell: 5.606 5.492 5.605 Å, 60.84 90.41 119.17°
Fractional coordinates of all 6 atoms:
Ge (0.500, 0.000, 0.500)
Ge (0.000, 0.500, 0.000)
Na (0.875, 0.750, 0.375)
Na (0.125, 0.250, 0.625)
Ga (0.500, 0.000, 0.000)
Ga (0.500, 0.500, 0.000)

The formation energy is -0.028 eV/atom. The calculated density is 4.4 Mg/m³. The calculated total energy is -3.015 eV/atom.

=====

First-principles (GGA-PBE) data for an optimized crystal structure of NaGaGe, as listed in Alexandria via LeMat-Bulk.

Cell: 11.059 11.059 8.153 Å, 47.30 47.30 90.00°
Fractional coordinates of all 12 atoms:
Ge (0.384, 0.000, 0.000)
Ge (0.616, 0.000, 0.000)
Ge (0.000, 0.616, 0.000)
Ge (0.000, 0.384, 0.000)
Na (0.500, 0.713, 0.000)
Na (0.500, 0.287, 0.000)
Na (0.287, 0.500, 0.000)
Na (0.713, 0.500, 0.000)
Ga (0.211, 0.211, 0.000)
Ga (0.789, 0.789, 0.000)
Ga (0.789, 0.211, 0.000)
Ga (0.211, 0.789, 0.000)

The formation energy is 0.085 eV/atom. The calculated density is 3.9 Mg/m³. The calculated total energy is -2.902 eV/atom.

=====

First-principles (GGA-PBE) data for an optimized crystal structure of Na5Ga2Ge4, as listed in Alexandria via LeMat-Bulk.

Cell: 3.536 8.325 10.683 Å, 112.93 99.53 90.00°
Fractional coordinates of all 11 atoms:
Ge (0.581, 0.581, 0.163)
Ge (0.419, 0.419, 0.837)
Ge (0.000, 0.332, 0.000)
Ge (0.000, 0.668, 0.000)
Na (0.843, 0.621, 0.686)
Na (0.500, 0.000, 0.000)
Na (0.157, 0.935, 0.314)
Na (0.843, 0.065, 0.686)
Na (0.157, 0.379, 0.314)
Ga (0.280, 0.280, 0.560)
Ga (0.720, 0.720, 0.440)

The formation energy is 0.053 eV/atom. The calculated density is 3.2 Mg/m³. The calculated total energy is -2.776 eV/atom.

=====

First-principles (GGA-PBE) data for an optimized crystal structure of NaGa12Ge4, as listed in Alexandria via LeMat-Bulk.

Cell: 7.802 7.802 7.802 Å, 109.47 109.47 109.47°
Fractional coordinates of all 17 atoms:
Ga (0.208, 0.855, 0.353)
Ga (0.647, 0.792, 0.145)
Ga (0.353, 0.208, 0.855)
Ga (0.353, 0.498, 0.145)
Ga (0.855, 0.647, 0.502)
Ga (0.145, 0.647, 0.792)
Ga (0.498, 0.145, 0.353)
Ga (0.145, 0.353, 0.498)
Ga (0.792, 0.145, 0.647)
Ga (0.855, 0.353, 0.208)
Ga (0.647, 0.502, 0.855)
Ga (0.502, 0.855, 0.647)
Ge (0.000, 0.000, 0.500)
Ge (0.500, 0.000, 0.000)
Ge (0.000, 0.500, 0.000)
Ge (0.500, 0.500, 0.500)
Na (0.000, 0.000, 0.000)

The formation energy is 0.062 eV/atom. The calculated density is 5.2 Mg/m³. The calculated total energy is -3.238 eV/atom.

=====

First-principles (GGA-PBE) data for an optimized crystal structure of NaGaGe, as listed in Alexandria via LeMat-Bulk.

Cell: 4.218 4.218 9.376 Å, 90.00 90.00 120.00°
Fractional coordinates of all 6 atoms:
Ge (0.333, 0.667, 0.750)
Ge (0.667, 0.333, 0.250)
Na (0.000, 0.000, 0.500)
Na (0.000, 0.000, 0.000)
Ga (0.333, 0.667, 0.250)
Ga (0.667, 0.333, 0.750)

The formation energy is -0.114 eV/atom. The calculated density is 3.8 Mg/m³. The calculated total energy is -3.101 eV/atom.

=====

First-principles (GGA-PBE) data for an optimized crystal structure of NaGaGe, as listed in Alexandria via LeMat-Bulk.

Cell: 4.988 4.988 6.064 Å, 90.00 90.00 106.44°
Fractional coordinates of all 6 atoms:
Ga (0.500, 0.500, 0.500)
Ga (0.500, 0.500, 0.000)
Na (0.867, 0.133, 0.750)
Na (0.133, 0.867, 0.250)
Ge (0.257, 0.743, 0.750)
Ge (0.743, 0.257, 0.250)

The formation energy is 0.083 eV/atom. The calculated density is 3.8 Mg/m³. The calculated total energy is -2.905 eV/atom.

=====

First-principles (GGA-PBE) data for an optimized crystal structure of NaGaGe2, as listed in Alexandria via LeMat-Bulk.

Cell: 4.150 4.150 6.798 Å, 72.23 72.23 60.00°
Fractional coordinates of all 4 atoms:
Ga (0.000, 0.000, 0.000)
Ge (0.722, 0.722, 0.834)
Ge (0.278, 0.278, 0.166)
Na (0.500, 0.500, 0.500)

The formation energy is 0.101 eV/atom. The calculated density is 4.2 Mg/m³. The calculated total energy is -3.295 eV/atom.

=====

First-principles (GGA-PBE) data for an optimized crystal structure of Na2GaGe, as listed in Alexandria via LeMat-Bulk.

Cell: 8.441 8.441 6.570 Å, 50.03 50.03 90.00°
Fractional coordinates of all 8 atoms:
Ga (0.500, 0.500, 0.000)
Ga (0.250, 0.750, 0.500)
Na (0.115, 0.625, 0.250)
Na (0.875, 0.885, 0.750)
Na (0.375, 0.365, 0.750)
Na (0.635, 0.125, 0.250)
Ge (0.000, 0.000, 0.000)
Ge (0.750, 0.250, 0.500)

For the distance to the lowest polymorph of the same formula, the calculation gives 1.032 eV per formula unit. The formation energy is 0.174 eV/atom. The calculated density is 3.2 Mg/m³. The calculated total energy is -2.397 eV/atom.

=====

First-principles (GGA-PBE) data for an optimized crystal structure of Na3Ga2Ge3, as listed in Alexandria via LeMat-Bulk.

Cell: 3.955 5.827 16.642 Å, 90.00 90.00 109.84°
Fractional coordinates of all 16 atoms:
Ge (0.061, 0.123, 0.889)
Ge (0.165, 0.329, 0.750)
Ge (0.939, 0.877, 0.389)
Ge (0.061, 0.123, 0.611)
Ge (0.939, 0.877, 0.111)
Ge (0.835, 0.671, 0.250)
Ga (0.266, 0.531, 0.147)
Ga (0.734, 0.469, 0.853)
Ga (0.734, 0.469, 0.647)
Ga (0.266, 0.531, 0.353)
Na (0.634, 0.267, 0.036)
Na (0.366, 0.733, 0.536)
Na (0.634, 0.267, 0.464)
Na (0.366, 0.733, 0.964)
Na (0.442, 0.884, 0.750)
Na (0.558, 0.116, 0.250)

The formation energy is -0.029 eV/atom. The calculated density is 3.9 Mg/m³. The calculated total energy is -3.012 eV/atom.

=====

First-principles (GGA-PBE) data for an optimized crystal structure of NaGaGe, as listed in Alexandria via LeMat-Bulk.

Cell: 3.776 5.991 7.213 Å, 59.76 74.83 71.63°
Fractional coordinates of all 6 atoms:
Na (0.845, 0.216, 0.094)
Na (0.155, 0.784, 0.906)
Ge (0.523, 0.656, 0.299)
Ge (0.477, 0.344, 0.701)
Ga (0.848, 0.755, 0.550)
Ga (0.152, 0.245, 0.450)

The formation energy is -0.050 eV/atom. The calculated density is 4.1 Mg/m³. The calculated total energy is -3.038 eV/atom.

=====

First-principles (GGA-PBE) data for an optimized crystal structure of NaGaGe, as listed in Alexandria via LeMat-Bulk.

Cell: 7.931 5.243 3.567 Å, 90.00 90.00 90.00°
Fractional coordinates of all 6 atoms:
Ge (0.250, 0.500, 0.000)
Ge (0.750, 0.500, 0.000)
Na (0.750, 0.000, 0.501)
Na (0.250, 0.000, 0.499)
Ga (0.000, 0.500, 0.500)
Ga (0.500, 0.500, 0.500)

The formation energy is 0.070 eV/atom. The calculated density is 3.7 Mg/m³. The calculated total energy is -2.917 eV/atom.

=====

First-principles (GGA-PBE) data for an optimized crystal structure of NaGaGe, as listed in Alexandria via LeMat-Bulk.

Cell: 4.219 6.317 6.329 Å, 70.65 109.66 109.71°
Fractional coordinates of all 6 atoms:
Ga (0.877, 0.017, 0.771)
Ga (0.893, 0.367, 0.453)
Na (0.638, 0.442, 0.866)
Na (0.133, 0.941, 0.359)
Ge (0.377, 0.517, 0.272)
Ge (0.392, 0.866, 0.952)

The formation energy is -0.075 eV/atom. The calculated density is 3.8 Mg/m³. The calculated total energy is -3.063 eV/atom.